The following is a GGA-PBE calculation of an optimized crystal structure of Nd7CdIn3, from Alexandria via LeMat-Bulk.

Values from the calculation:
**Raw total energy**: -44.5 eV/cell

a b c (Å): 5.935 8.307 8.307
angles (deg): 91.53 111.02 111.02
Positions (direct):
Nd  0.180  0.179  0.179
Nd  0.329  0.057  0.600
Nd  0.671  0.400  0.943
Nd  0.329  0.600  0.057
Nd  0.000  0.500  0.500
Nd  0.671  0.943  0.400
Nd  0.820  0.821  0.821
Cd  0.500  0.500  0.500
In  0.000  0.766  0.234
In  0.500  0.000  0.000
In  0.000  0.234  0.766